# Sr3TeF

Sr3TeF after structural relaxation (PBE-GGA, Alexandria via LeMat-Bulk).

Cell and atoms, written as POSCAR:
```
Sr3TeF
1.0
5.418 0.000 0.000
0.000 5.418 0.000
0.000 0.000 5.418
Sr Te F
3 1 1
Direct
0.000 0.500 0.000
0.000 0.000 0.500
0.500 0.000 0.000
0.500 0.500 0.500
0.000 0.000 0.000
```

## Properties
- VASP energy (eV/atom) = -3.3049
- formation energy (no corrections) (eV/atom) = -1.2932